A geometry-optimized Th6TeP2Ir3 structure, computed with PBE-GGA.

Structure (POSCAR):
```
Th6TeP2Ir3
1.0
9.365 -2.059 0.000
9.365 2.059 0.000
-2.607 0.000 8.346
Th Te P Ir
6 1 2 3
Cartesian
-0.543 0.000 1.851 Th
4.911 0.000 3.514 Th
3.887 0.000 7.615 Th
12.236 0.000 0.730 Th
11.213 0.000 4.832 Th
16.666 0.000 6.495 Th
8.062 0.000 4.173 Te
0.952 0.000 6.933 P
15.171 0.000 1.413 P
2.233 0.000 2.748 Ir
9.365 0.000 0.000 Ir
13.890 0.000 5.598 Ir
```

Energy relative to the elements, uncorrected ... -1.121 eV/atom
Symmetry ... No. 12



A geometry-optimized AlPC structure, computed with PBE-GGA.

Structure (POSCAR):
```
AlPC
1.0
4.845 -1.585 0.000
4.845 1.585 0.000
-4.761 0.000 5.702
Al P C
2 2 2
Cartesian
-1.077 0.000 1.530 Al
6.007 0.000 4.172 Al
-1.276 0.000 3.921 P
6.205 0.000 1.781 P
0.186 0.000 4.954 C
4.743 0.000 0.747 C
```

ΔE_f ... 0.140 eV per atom
Symmetry ... No. 12
E above lowest polymorph ... 154.8 meV/atom



A geometry-optimized Ba2Mg4GePb3 structure, computed with PBE-GGA.

Structure (POSCAR):
```
Ba2Mg4GePb3
1.0
4.913 0.000 0.000
0.000 4.913 0.000
0.000 0.000 12.341
Ba Mg Ge Pb
2 4 1 3
Cartesian
0.000 2.456 2.993 Ba
2.456 0.000 9.348 Ba
0.000 0.000 6.171 Mg
0.000 2.456 10.779 Mg
2.456 0.000 1.562 Mg
2.456 2.456 6.171 Mg
2.456 2.456 0.000 Ge
0.000 0.000 0.000 Pb
0.000 2.456 7.888 Pb
2.456 0.000 4.453 Pb
```

ΔE_f ... -0.372 eV per atom
Symmetry ... No. 115



Record-wise volume values, in Å³/f.u.: 321.9 43.8 297.8
Record-wise magnetization values, in μB per atom: 0.00 0.00 0.00